# 1
A plane-wave DFT calculation with PBE was carried out for a relaxed PuIn2As2Pd7 crystal.

Values from the calculation:
formation energy	-0.364	eV/atom
total magnetization	5.04	μB per cell
final energy	-5.8193	eV per atom

abc: 4.0116 4.0116 14.8809
angles: 94.49 94.49 90.18
Last column: nearest neighbours and their distance in Å.
Atoms (fractional coordinates):
Pu (0.0000, 0.0000, 0.0000)  12 Pd 2.83-3.00
In (0.1177, 0.1177, 0.4076)  5 Pd 2.80-2.88
In (0.8823, 0.8823, 0.5924)  5 Pd 2.80-2.88
As (0.4234, 0.4234, 0.7498)  5 Pd 2.46-2.49
As (0.5766, 0.5766, 0.2502)  5 Pd 2.46-2.49
Pd (0.0469, 0.5459, 0.1504)  2 As 2.49
Pd (0.3863, 0.3863, 0.5834)  1 As 2.46
Pd (0.4541, 0.9531, 0.8496)  2 As 2.49
Pd (0.5000, 0.5000, 0.0000)  4 Pu 2.83-2.84, 8 Pd 2.99-3.00
Pd (0.5459, 0.0469, 0.1504)  2 As 2.49
Pd (0.6137, 0.6137, 0.4166)  1 As 2.46
Pd (0.9531, 0.4541, 0.8496)  2 As 2.49

=====

# 2
A plane-wave DFT calculation with PBE was carried out for a relaxed Tb3Pm5Bi8 crystal.

Values from the calculation:
formation energy	-0.916	eV/atom
total magnetization	0.00	μB per cell
final energy	-5.2091	eV per atom

abc: 9.0932 9.0932 9.0932
angles: 60.02 60.02 60.02
Last column: nearest neighbours and their distance in Å.
Atoms (fractional coordinates):
Tb (0.0000, 0.5000, 0.5000)  6 Bi 3.19
Tb (0.5000, 0.0000, 0.5000)  6 Bi 3.19
Tb (0.5000, 0.5000, 0.0000)  6 Bi 3.19
Pm (0.0000, 0.0000, 0.0000)  6 Bi 3.22
Pm (0.0000, 0.0000, 0.5000)  6 Bi 3.24
Pm (0.0000, 0.5000, 0.0000)  6 Bi 3.24
Pm (0.5000, 0.0000, 0.0000)  6 Bi 3.24
Pm (0.5000, 0.5000, 0.5000)  6 Bi 3.22
Bi (0.2500, 0.2500, 0.7462)  2 Tb 3.19, 4 Pm 3.22-3.24
Bi (0.2500, 0.7462, 0.2500)  2 Tb 3.19, 4 Pm 3.22-3.24
Bi (0.2519, 0.2519, 0.2519)  3 Tb 3.19, 3 Pm 3.24
Bi (0.2538, 0.7500, 0.7500)  2 Tb 3.19, 4 Pm 3.22-3.24
Bi (0.7462, 0.2500, 0.2500)  2 Tb 3.19, 4 Pm 3.22-3.24
Bi (0.7481, 0.7481, 0.7481)  3 Tb 3.19, 3 Pm 3.24
Bi (0.7500, 0.2538, 0.7500)  2 Tb 3.19, 4 Pm 3.22-3.24
Bi (0.7500, 0.7500, 0.2538)  2 Tb 3.19, 4 Pm 3.22-3.24

=====

# 3
A plane-wave DFT calculation with PBE was carried out for a relaxed Li2Be17B3 crystal.

Values from the calculation:
formation energy	0.296	eV/atom
total magnetization	0.00	μB per cell
final energy	-3.6681	eV per atom

abc: 5.8697 5.8697 5.8697
angles: 84.81 84.81 84.81
Last column: nearest neighbours and their distance in Å.
Atoms (fractional coordinates):
Li (0.1625, 0.1625, 0.1625)  3 B 2.29
Li (0.8375, 0.8375, 0.8375)  3 B 2.29
Be (0.0000, 0.5000, 0.5000)  10 Be 2.17-2.41
Be (0.1701, 0.1701, 0.6523)  1 B 1.82
Be (0.1701, 0.6523, 0.1701)  1 B 1.82
Be (0.2324, 0.5000, 0.7676)  1 B 1.84
Be (0.2324, 0.7676, 0.5000)  1 B 1.84
Be (0.3477, 0.8299, 0.8299)  1 B 1.82
Be (0.4021, 0.4021, 0.4021)  13 Be 2.16-2.41
Be (0.5000, 0.0000, 0.5000)  10 Be 2.17-2.41
Be (0.5000, 0.2324, 0.7676)  1 B 1.84
Be (0.5000, 0.5000, 0.0000)  10 Be 2.17-2.41
Be (0.5000, 0.7676, 0.2324)  1 B 1.84
Be (0.5979, 0.5979, 0.5979)  13 Be 2.16-2.41
Be (0.6523, 0.1701, 0.1701)  1 B 1.82
Be (0.7676, 0.2324, 0.5000)  1 B 1.84
Be (0.7676, 0.5000, 0.2324)  1 B 1.84
Be (0.8299, 0.3477, 0.8299)  1 B 1.82
Be (0.8299, 0.8299, 0.3477)  1 B 1.82
B (0.0000, 0.0000, 0.5000)  4 Be 1.82-1.84
B (0.0000, 0.5000, 0.0000)  4 Be 1.82-1.84
B (0.5000, 0.0000, 0.0000)  4 Be 1.82-1.84